A plane-wave DFT calculation with PBE was carried out for an optimized crystal structure of PtIF3.

The formation energy without anion corrections comes out at 0.137 eV per atom. For the total energy, the calculation gives -2.503 eV/atom.

```
data_PtIF3
_chemical_formula_sum 'Pt1 I1 F3'
_cell_length_a 4.620
_cell_length_b 4.620
_cell_length_c 4.620
_cell_angle_alpha 90.00
_cell_angle_beta 90.00
_cell_angle_gamma 90.00
_space_group_name_H-M_alt 'P m -3 m'
_space_group_IT_number 221
_space_group_name_Hall '-P 4 2 3'
loop_
_atom_site_label
_atom_site_fract_x
_atom_site_fract_y
_atom_site_fract_z
Pt1 0.000 0.000 0.000
I1 0.500 0.500 0.500
F1 0.000 0.500 0.500
```

***

A plane-wave DFT calculation with PBE was carried out for an optimized crystal structure of DyTm6Zr2.

The calculated formation energy comes out at 0.069 eV per atom. For the total energy, the calculation gives -5.323 eV/atom.

```
data_DyTm6Zr2
_chemical_formula_sum 'Dy1 Tm6 Zr2'
_cell_length_a 3.4662
_cell_length_b 3.4662
_cell_length_c 25.0628
_cell_angle_alpha 90.00
_cell_angle_beta 90.00
_cell_angle_gamma 120.00
_space_group_name_H-M_alt 'P -6 m 2'
_space_group_IT_number 187
_space_group_name_Hall 'P -6 2'
loop_
_atom_site_label
_atom_site_fract_x
_atom_site_fract_y
_atom_site_fract_z
Dy1 0.0000 0.0000 0.0000
Tm1 0.0000 0.0000 0.2272
Tm2 0.0000 0.0000 0.4329
Tm3 0.3333 0.6667 0.1137
Zr1 0.3333 0.6667 0.3314
```